Pa5CS4 after structural relaxation, computed with PBE.

Output
Electronic total energy, eV per atom: -8.668
Formation energy without anion corrections, kcal/mol of atoms: -31.05

a = 3.8529 Å, b = 3.8529 Å, c = 13.8243 Å
α = 98.01°, β = 98.01°, γ = 90.00°
Fractional coordinates of all 10 atoms:
Pa1 0.0910 0.0910 0.1820
Pa2 0.5000 0.5000 0.0000
Pa3 0.9090 0.9090 0.8180
Pa4 0.2999 0.2999 0.5999
Pa5 0.7001 0.7001 0.4001
C1 0.0000 0.0000 0.0000
S1 0.4000 0.4000 0.8001
S2 0.8032 0.8032 0.6064
S3 0.1968 0.1968 0.3936
S4 0.6000 0.6000 0.1999

Pa2CS after structural relaxation, computed with PBE.

Output
Electronic total energy, eV per atom: -9.187
Formation energy without anion corrections, kcal/mol of atoms: -25.39

a = 3.6782 Å, b = 3.6782 Å, c = 6.7330 Å
α = 74.15°, β = 74.15°, γ = 60.00°
Fractional coordinates of all 4 atoms:
S1 0.5000 0.5000 0.5000
Pa1 0.2606 0.2606 0.2183
Pa2 0.7394 0.7394 0.7817
C1 0.0000 0.0000 0.0000

PaCS after structural relaxation, computed with PBE.

Output
Electronic total energy, eV per atom: -8.022
Formation energy without anion corrections, kcal/mol of atoms: -9.37

a = 4.0697 Å, b = 3.8795 Å, c = 3.8795 Å
α = 120.00°, β = 90.00°, γ = 90.00°
Fractional coordinates of all 3 atoms:
S1 0.6666 0.6667 0.3333
Pa1 0.1668 0.3333 0.6667
C1 0.1666 0.0000 0.0000

Pa3CS2 after structural relaxation, computed with PBE.

Output
Electronic total energy, eV per atom: -8.716
Formation energy without anion corrections, kcal/mol of atoms: -24.33

a = 3.6793 Å, b = 3.6793 Å, c = 19.7847 Å
α = 90.00°, β = 90.00°, γ = 120.00°
Fractional coordinates of all 12 atoms:
Pa1 0.0000 0.0000 0.0000
Pa2 0.3333 0.6667 0.1756
Pa3 0.3333 0.6667 0.3244
Pa4 0.0000 0.0000 0.5000
Pa5 0.6667 0.3333 0.6756
Pa6 0.6667 0.3333 0.8244
C1 0.0000 0.0000 0.2500
C2 0.0000 0.0000 0.7500
S1 0.3333 0.6667 0.9127
S2 0.6667 0.3333 0.0873
S3 0.6667 0.3333 0.4127
S4 0.3333 0.6667 0.5873

PaCS after structural relaxation, computed with PBE.

Output
Electronic total energy, eV per atom: -7.995
Formation energy without anion corrections, kcal/mol of atoms: -8.75

a = 3.5166 Å, b = 3.5166 Å, c = 4.9387 Å
α = 110.86°, β = 110.86°, γ = 90.00°
Fractional coordinates of all 3 atoms:
S1 0.0410 0.0410 0.0820
Pa1 0.7036 0.7036 0.4072
C1 0.2554 0.2554 0.5108

Pa2CS after structural relaxation, computed with PBE.

Output
Electronic total energy, eV per atom: -9.088
Formation energy without anion corrections, kcal/mol of atoms: -23.12

a = 3.5425 Å, b = 3.5425 Å, c = 7.1826 Å
α = 75.72°, β = 75.72°, γ = 60.00°
Fractional coordinates of all 4 atoms:
Pa1 0.9556 0.9556 0.1333
Pa2 0.7623 0.7623 0.7130
C1 0.3581 0.3581 0.9258
S1 0.1908 0.1908 0.4275

Pa4SbCS2 after structural relaxation, computed with PBE.

Output
Electronic total energy, eV per atom: -8.368
Formation energy without anion corrections, kcal/mol of atoms: -21.22

a = 3.9460 Å, b = 6.8070 Å, c = 14.0513 Å
α = 90.00°, β = 90.00°, γ = 106.85°
Each line ends with the local moment (μB).
Fractional coordinates of all 16 atoms:
Pa1 0.2716 0.5432 0.1146  0.09
Pa2 0.7284 0.4568 0.6146  0.09
Pa3 0.7284 0.4568 0.8854  0.09
Pa4 0.2716 0.5432 0.3854  0.09
Pa5 0.0000 0.0000 0.5000  0.54
Pa6 0.0000 0.0000 0.0000  0.54
Pa7 0.4164 0.8328 0.7500  0.07
Pa8 0.5836 0.1672 0.2500  0.07
Sb1 0.1006 0.2011 0.7500  -0.01
Sb2 0.8994 0.7989 0.2500  -0.01
C1 0.8214 0.6428 0.7500  0.00
C2 0.1786 0.3572 0.2500  0.00
S1 0.3668 0.7336 0.5615  -0.01
S2 0.6332 0.2664 0.0615  -0.01
S3 0.6332 0.2664 0.4385  -0.01
S4 0.3668 0.7336 0.9385  -0.01

ScPaCS after structural relaxation, computed with PBE.

Output
Electronic total energy, eV per atom: -8.484
Formation energy without anion corrections, kcal/mol of atoms: -27.42

a = 3.5707 Å, b = 3.5707 Å, c = 6.5218 Å
α = 74.11°, β = 74.11°, γ = 60.00°
Fractional coordinates of all 4 atoms:
Sc1 0.4332 0.4332 0.7003
Pa1 0.9588 0.9588 0.1235
C1 0.6964 0.6964 0.9107
S1 0.1879 0.1879 0.4362

- Which value of formation energy without anion corrections does entry 4 give?
  -24.33 kcal/mol of atoms

- Number 1 is which compound?
  Pa5CS4

- Look up the formation energy without anion corrections of the first one.
  -31.05 kcal/mol of atoms